[1]
BaTlOs2 | GGA-PBE | relaxed

Lattice parameters (Å, degrees): 3.6979 3.6979 7.0580 90.00 90.00 90.00
Space group P4/mmm (No. 123)
One atom of each set of equivalent atoms:
Ba 0.0000 0.0000 0.0000 [1 per cell]
Tl 0.0000 0.0000 0.5000 [1 per cell]
Os 0.5000 0.5000 0.3254 [2 per cell]

Theoretical density ... 12.425 Mg/m³
Size of the total moment ... 2.2 Bohr magnetons per cell
ΔE to the lowest computed polymorph ... 3.66 eV per formula unit
DOS(E_F) ... 5.78 states/eV/f.u.
Formation energy ... 1.236 eV/atom

=====

[2]
BaTlOs2 | GGA-PBE | relaxed

Lattice parameters (Å, degrees): 6.6056 9.2848 2.8706 90.00 90.00 90.00
Space group Cmmm (No. 65)
One atom of each set of equivalent atoms:
Ba 0.0000 0.0000 0.0000 [2 per cell]
Tl 0.0000 0.5000 0.0000 [2 per cell]
Os 0.2500 0.2500 0.5000 [4 per cell]

Theoretical density ... 13.623 Mg/m³
Size of the total moment ... 0.0 Bohr magnetons per cell
ΔE to the lowest computed polymorph ... 4.72 eV per formula unit
DOS(E_F) ... 4.24 states/eV/f.u.
Formation energy ... 1.502 eV/atom

=====

[3]
BaTlOs2 | GGA-PBE | relaxed

Lattice parameters (Å, degrees): 4.1870 4.7690 11.6953 90.00 90.00 90.00
Space group Imm2 (No. 44)
One atom of each set of equivalent atoms:
Ba 0.0000 0.0000 0.0000 [2 per cell]
Tl 0.0000 0.5000 0.2344 [2 per cell]
Os 0.0000 0.0000 0.3774 [2 per cell]
Os 0.0000 0.5000 0.7860 [2 per cell]

Theoretical density ... 10.270 Mg/m³
Size of the total moment ... 0.0 Bohr magnetons per cell
ΔE to the lowest computed polymorph ... 1.62 eV per formula unit
DOS(E_F) ... 3.15 states/eV/f.u.
Formation energy ... 0.727 eV/atom

=====

[4]
BaTl2Os | GGA-PBE | relaxed

Lattice parameters (Å, degrees): 3.4090 5.8154 11.3091 90.00 90.00 90.00
Space group Immm (No. 71)
One atom of each set of equivalent atoms:
Ba 0.0000 0.0000 0.0000 [2 per cell]
Tl 0.0000 0.5000 0.2003 [4 per cell]
Os 0.0000 0.0000 0.5000 [2 per cell]

Theoretical density ... 10.907 Mg/m³
Size of the total moment ... 0.0 Bohr magnetons per cell
DOS(E_F) ... 2.98 states/eV/f.u.
Formation energy ... 0.466 eV/atom

=====

[5]
BaTl2Os | GGA-PBE | relaxed

Lattice parameters (Å, degrees): 3.5173 3.5173 29.8693 90.00 90.00 120.00
Space group R-3m (No. 166, hexagonal axes)
One atom of each set of equivalent atoms:
Ba 0.0000 0.0000 0.0000 [3 per cell]
Tl 0.0000 0.0000 0.2340 [6 per cell]
Os 0.0000 0.0000 0.5000 [3 per cell]

Theoretical density ... 11.462 Mg/m³
Size of the total moment ... 1.1 Bohr magnetons per cell
DOS(E_F) ... 4.83 states/eV/f.u.
Formation energy ... 0.715 eV/atom

=====

[6]
BaTlOs2 | GGA-PBE | relaxed

Lattice parameters (Å, degrees): 2.9994 3.7441 8.2788 90.00 90.01 90.00
Space group Pm (No. 6)
One atom of each set of equivalent atoms:
Ba 0.0000 0.0000 0.0000 [1 per cell]
Tl 0.4992 0.5000 0.3353 [1 per cell]
Os 0.0015 0.0000 0.5808 [1 per cell]
Os 0.5013 0.5000 0.6982 [1 per cell]

Theoretical density ... 12.898 Mg/m³
Size of the total moment ... 0.0 Bohr magnetons per cell
ΔE to the lowest computed polymorph ... 0.76 eV per formula unit
DOS(E_F) ... 2.03 states/eV/f.u.
Formation energy ... 0.512 eV/atom

=====

[7]
BaTlOs2 | GGA-PBE | relaxed

Lattice parameters (Å, degrees): 3.3163 5.1968 9.7105 90.00 90.00 90.00
Space group Cmmm (No. 65)
One atom of each set of equivalent atoms:
Ba 0.0000 0.0000 0.0000 [2 per cell]
Tl 0.0000 0.0000 0.5000 [2 per cell]
Os 0.0000 0.5000 0.2703 [4 per cell]

Theoretical density ... 14.331 Mg/m³
Size of the total moment ... 0.0 Bohr magnetons per cell
ΔE to the lowest computed polymorph ... 4.45 eV per formula unit
DOS(E_F) ... 5.11 states/eV/f.u.
Formation energy ... 1.434 eV/atom

=====

[8]
BaTl2Os | GGA-PBE | relaxed

Lattice parameters (Å, degrees): 4.9191 4.9191 8.7024 90.00 90.00 90.00
Space group I4/mmm (No. 139)
One atom of each set of equivalent atoms:
Ba 0.0000 0.0000 0.0000 [2 per cell]
Tl 0.0000 0.5000 0.2500 [4 per cell]
Os 0.0000 0.0000 0.5000 [2 per cell]

Theoretical density ... 11.613 Mg/m³
Size of the total moment ... 1.4 Bohr magnetons per cell
DOS(E_F) ... 3.84 states/eV/f.u.
Formation energy ... 0.655 eV/atom